VASP calculation (GGA-PBE) on a relaxed TiAlV2 crystal.

DFT total energy: -7.602 eV per atom
DFT formation energy: -0.134 eV per atom

a = 3.729 Å, b = 3.729 Å, c = 4.249 Å
α = 90.00°, β = 90.00°, γ = 90.00°
Space group P4/mmm (No. 123)
Inequivalent atoms, fractional coordinates:
Ti 0.000 0.000 0.000 x1
Al 0.500 0.500 0.000 x1
V 0.000 0.500 0.500 x2

VASP calculation (GGA-PBE) on a relaxed YHoCuRh crystal.

DFT total energy: -6.210 eV per atom
energy above the most stable polymorph in this dataset: 0 meV/atom
DFT formation energy: -0.587 eV per atom

a = 4.352 Å, b = 3.783 Å, c = 10.409 Å
α = 90.00°, β = 90.00°, γ = 90.00°
Space group Amm2 (No. 38)
Inequivalent atoms, fractional coordinates:
Y 0.000 0.000 0.000 x2
Ho 0.500 0.000 0.722 x2
Cu 0.500 0.000 0.434 x2
Rh 0.000 0.000 0.278 x2

VASP calculation (GGA-PBE) on a relaxed LiTe2Pb2O6 crystal.

DFT total energy: -5.160 eV per atom

a = 11.705 Å, b = 6.659 Å, c = 6.086 Å
α = 90.00°, β = 114.23°, γ = 90.00°
Space group C2/m (No. 12)
Inequivalent atoms, fractional coordinates:
Li 0.000 0.000 0.000 x2
Te 0.032 0.500 0.769 x4
Pb 0.163 0.000 0.698 x4
O 0.024 0.198 0.768 x8
O 0.208 0.500 0.880 x4

VASP calculation (GGA-PBE) on a relaxed Ca2TlHgF8 crystal.

DFT total energy: -4.550 eV per atom

a = 3.985 Å, b = 5.630 Å, c = 7.982 Å
α = 90.00°, β = 90.00°, γ = 90.00°
Space group Pmmm (No. 47)
Inequivalent atoms, fractional coordinates:
Ca 0.000 0.000 0.245 x2
Tl 0.500 0.500 0.500 x1
Hg 0.500 0.500 0.000 x1
F 0.000 0.241 0.500 x2
F 0.000 0.242 0.000 x2
F 0.500 0.239 0.245 x4

VASP calculation (GGA-PBE) on a relaxed Zr2As2P crystal.

DFT total energy: -7.204 eV per atom
DFT formation energy: -0.843 eV per atom

a = 7.218 Å, b = 7.218 Å, c = 3.713 Å
α = 90.00°, β = 90.00°, γ = 90.00°
Space group P4/mbm (No. 127)
Inequivalent atoms, fractional coordinates:
Zr 0.164 0.336 0.000 x4
As 0.136 0.636 0.500 x4
P 0.000 0.000 0.000 x2

VASP calculation (GGA-PBE) on a relaxed Mn2VS6 crystal.

DFT total energy: -6.446 eV per atom
energy above the most stable polymorph in this dataset: 0 meV/atom

a = 15.980 Å, b = 3.241 Å, c = 7.455 Å
α = 90.00°, β = 115.24°, γ = 90.00°
Space group C2/m (No. 12)
Inequivalent atoms, fractional coordinates:
Mn 0.160 0.000 0.318 x4
V 0.000 0.500 0.000 x2
S 0.005 0.000 0.237 x4
S 0.162 0.500 0.099 x4
S 0.178 0.500 0.554 x4

VASP calculation (GGA-PBE) on a relaxed AcTbPrHo2 crystal.

DFT total energy: -4.189 eV per atom
DFT formation energy: 0.346 eV per atom

a = 8.530 Å, b = 11.930 Å, c = 7.321 Å
α = 90.00°, β = 90.00°, γ = 90.00°
Space group Cmcm (No. 63)
Inequivalent atoms, fractional coordinates:
Ac 0.000 0.240 0.250 x4
Tb 0.000 0.207 0.750 x4
Pr 0.000 0.480 0.750 x4
Ho 0.186 0.000 0.000 x8

VASP calculation (GGA-PBE) on a relaxed LiHf2TlN crystal.

DFT total energy: -7.177 eV per atom

a = 4.408 Å, b = 4.408 Å, c = 4.298 Å
α = 90.00°, β = 90.00°, γ = 90.00°
Space group P4/mmm (No. 123)
Inequivalent atoms, fractional coordinates:
Li 0.000 0.000 0.000 x1
Hf 0.000 0.500 0.500 x2
Tl 0.500 0.500 0.000 x1
N 0.000 0.000 0.500 x1